This record from Alexandria via LeMat-Bulk describes a geometry-optimized CoRuRh structure. The functional is PBE-GGA.

abc: 3.9711 3.9711 3.9711
angles: 60.00 60.00 60.00
Sites, in units of the cell vectors:
1 Co 0.0000 0.0000 0.0000
2 Ru 0.7500 0.7500 0.7500
3 Rh 0.2500 0.2500 0.2500

Summary:
- ΔH_f (0 K): 588 meV per atom
- Theoretical density: 9.86 g cm⁻³
- DOS at the Fermi energy: 4.499 states/eV per cell
- Relative energy among the computed polymorphs: 492 meV per atom
- Final energy: -0.538 Ry per atom

This record from Alexandria via LeMat-Bulk describes a geometry-optimized CoRuRh2 structure. The functional is PBE-GGA.

abc: 2.6820 3.7431 5.3241
angles: 90.00 90.00 90.00
Sites, in units of the cell vectors:
1 Co 0.0000 0.0000 0.0000
2 Ru 0.5000 0.5000 0.7599
3 Rh 0.0000 0.0000 0.5102
4 Rh 0.5000 0.5000 0.2402

Summary:
- ΔH_f (0 K): 86 meV per atom
- Theoretical density: 11.37 g cm⁻³
- DOS at the Fermi energy: 5.336 states/eV per cell
- Relative energy among the computed polymorphs: 23 meV per atom
- Final energy: -0.565 Ry per atom

This record from Alexandria via LeMat-Bulk describes a geometry-optimized CoRu2Rh structure. The functional is PBE-GGA.

abc: 8.7612 8.7612 8.7612
angles: 17.58 17.58 17.58
Sites, in units of the cell vectors:
1 Co 0.0000 0.0000 0.0000
2 Ru 0.2529 0.2529 0.2529
3 Ru 0.7471 0.7471 0.7471
4 Rh 0.5000 0.5000 0.5000

Summary:
- ΔH_f (0 K): 166 meV per atom
- Theoretical density: 11.28 g cm⁻³
- DOS at the Fermi energy: 6.001 states/eV per cell
- Relative energy among the computed polymorphs: 61 meV per atom
- Final energy: -0.594 Ry per atom

This record from Alexandria via LeMat-Bulk describes a geometry-optimized CoRu2Rh structure. The functional is PBE-GGA.

abc: 2.6637 3.7499 5.3044
angles: 90.00 90.00 90.00
Sites, in units of the cell vectors:
1 Co 0.0000 0.0000 0.0000
2 Ru 0.5000 0.5000 0.2355
3 Ru 0.5000 0.5000 0.7645
4 Rh 0.0000 0.0000 0.5000

Summary:
- ΔH_f (0 K): 130 meV per atom
- Theoretical density: 11.41 g cm⁻³
- DOS at the Fermi energy: 5.663 states/eV per cell
- Relative energy among the computed polymorphs: 25 meV per atom
- Final energy: -0.597 Ry per atom

This record from Alexandria via LeMat-Bulk describes a geometry-optimized CoRuRh3 structure. The functional is PBE-GGA.

abc: 8.9997 2.6444 6.3405
angles: 90.00 90.00 90.00
Sites, in units of the cell vectors:
1 Co 0.2500 0.0000 0.2379
2 Co 0.7500 0.0000 0.7621
3 Ru 0.2500 0.5000 0.5831
4 Ru 0.7500 0.5000 0.4169
5 Rh 0.0000 0.0000 0.5000
6 Rh 0.1084 0.0000 0.8883
7 Rh 0.3916 0.0000 0.8883
8 Rh 0.5000 0.0000 0.5000
9 Rh 0.6084 0.0000 0.1117
10 Rh 0.8916 0.0000 0.1117

Summary:
- ΔH_f (0 K): 501 meV per atom
- Theoretical density: 10.32 g cm⁻³
- DOS at the Fermi energy: 18.292 states/eV per cell
- Relative energy among the computed polymorphs: 0 meV per atom
- Final energy: -0.528 Ry per atom

This record from Alexandria via LeMat-Bulk describes a geometry-optimized Co2RuRh structure. The functional is PBE-GGA.

abc: 8.5352 8.5352 8.5352
angles: 17.85 17.85 17.85
Sites, in units of the cell vectors:
1 Co 0.2504 0.2504 0.2504
2 Co 0.7496 0.7496 0.7496
3 Ru 0.0000 0.0000 0.0000
4 Rh 0.5000 0.5000 0.5000

Summary:
- ΔH_f (0 K): 155 meV per atom
- Theoretical density: 10.47 g cm⁻³
- DOS at the Fermi energy: 5.922 states/eV per cell
- Relative energy among the computed polymorphs: 46 meV per atom
- Final energy: -0.555 Ry per atom

This record from Alexandria via LeMat-Bulk describes a geometry-optimized CoRu2Rh structure. The functional is PBE-GGA.

abc: 2.6741 2.6741 7.3944
angles: 90.00 90.00 90.00
Sites, in units of the cell vectors:
1 Co 0.0000 0.0000 0.0000
2 Ru 0.5000 0.5000 0.2366
3 Ru 0.5000 0.5000 0.7634
4 Rh 0.0000 0.0000 0.5000

Summary:
- ΔH_f (0 K): 136 meV per atom
- Theoretical density: 11.43 g cm⁻³
- DOS at the Fermi energy: 5.279 states/eV per cell
- Relative energy among the computed polymorphs: 31 meV per atom
- Final energy: -0.597 Ry per atom

This record from Alexandria via LeMat-Bulk describes a geometry-optimized CoRu2Rh structure. The functional is PBE-GGA.

abc: 4.5970 4.5970 4.5965
angles: 99.95 99.95 33.76
Sites, in units of the cell vectors:
1 Co 0.0000 0.0000 0.0000
2 Ru 0.2528 0.2528 0.7577
3 Ru 0.7472 0.7472 0.2423
4 Rh 0.5000 0.5000 0.5000

Summary:
- ΔH_f (0 K): 134 meV per atom
- Theoretical density: 11.38 g cm⁻³
- DOS at the Fermi energy: 5.421 states/eV per cell
- Relative energy among the computed polymorphs: 29 meV per atom
- Final energy: -0.597 Ry per atom

This record from Alexandria via LeMat-Bulk describes a geometry-optimized CoRu2Rh4 structure. The functional is PBE-GGA.

abc: 8.6043 2.6881 8.6464
angles: 90.00 104.93 90.00
Sites, in units of the cell vectors:
1 Co 0.2107 0.0000 0.3496
2 Co 0.7893 0.0000 0.6504
3 Ru 0.0604 0.5000 0.7880
4 Ru 0.3549 0.0000 0.8960
5 Ru 0.6451 0.0000 0.1040
6 Ru 0.9396 0.5000 0.2120
7 Rh 0.0000 0.0000 0.5000
8 Rh 0.1482 0.0000 0.0645
9 Rh 0.2779 0.5000 0.6161
10 Rh 0.4171 0.5000 0.2029
11 Rh 0.5000 0.0000 0.5000
12 Rh 0.5829 0.5000 0.7971
13 Rh 0.7221 0.5000 0.3839
14 Rh 0.8518 0.0000 0.9355

Summary:
- ΔH_f (0 K): 132 meV per atom
- Theoretical density: 11.56 g cm⁻³
- DOS at the Fermi energy: 19.358 states/eV per cell
- Final energy: -0.568 Ry per atom

This record from Alexandria via LeMat-Bulk describes a geometry-optimized CoRu3Rh2 structure. The functional is PBE-GGA.

abc: 3.7754 5.3537 8.0467
angles: 89.88 89.98 90.00
Sites, in units of the cell vectors:
1 Co 0.2493 0.3784 0.4204
2 Co 0.7507 0.6216 0.5796
3 Ru 0.2494 0.8726 0.4220
4 Ru 0.2500 0.3759 0.0771
5 Ru 0.2497 0.8744 0.0830
6 Ru 0.7503 0.1256 0.9170
7 Ru 0.7500 0.6241 0.9229
8 Ru 0.7506 0.1274 0.5780
9 Rh 0.2504 0.8751 0.7457
10 Rh 0.2507 0.3796 0.7440
11 Rh 0.7493 0.6204 0.2560
12 Rh 0.7496 0.1249 0.2543

Summary:
- ΔH_f (0 K): 103 meV per atom
- Theoretical density: 11.60 g cm⁻³
- DOS at the Fermi energy: 16.586 states/eV per cell
- Final energy: -0.600 Ry per atom

This record from Alexandria via LeMat-Bulk describes a geometry-optimized CoRuRh structure. The functional is PBE-GGA.

abc: 9.0706 9.0706 9.0706
angles: 163.41 155.24 29.95
Sites, in units of the cell vectors:
1 Co 0.1495 0.1495 0.0000
2 Co 0.8505 0.8505 0.0000
3 Ru 0.2931 0.2931 0.0000
4 Ru 0.7069 0.7069 0.0000
5 Rh 0.4305 0.9305 0.5000
6 Rh 0.5695 0.0695 0.5000

Summary:
- ΔH_f (0 K): 467 meV per atom
- Theoretical density: 9.79 g cm⁻³
- DOS at the Fermi energy: 9.731 states/eV per cell
- Relative energy among the computed polymorphs: 370 meV per atom
- Final energy: -0.547 Ry per atom

This record from Alexandria via LeMat-Bulk describes a geometry-optimized CoRuRh structure. The functional is PBE-GGA.

abc: 4.5686 4.5686 4.5686
angles: 146.01 132.46 59.73
Sites, in units of the cell vectors:
1 Co 0.0000 0.0000 0.0000
2 Ru 0.6572 0.6572 0.0000
3 Rh 0.3305 0.3305 0.0000

Summary:
- ΔH_f (0 K): 96 meV per atom
- Theoretical density: 11.20 g cm⁻³
- DOS at the Fermi energy: 3.917 states/eV per cell
- Relative energy among the computed polymorphs: 0 meV per atom
- Final energy: -0.574 Ry per atom

This record from Alexandria via LeMat-Bulk describes a geometry-optimized CoRuRh4 structure. The functional is PBE-GGA.

abc: 5.0309 5.0309 5.0309
angles: 60.00 60.00 60.00
Sites, in units of the cell vectors:
1 Co 0.0000 0.0000 0.0000
2 Ru 0.2500 0.2500 0.2500
3 Rh 0.1246 0.6251 0.6251
4 Rh 0.6251 0.1246 0.6251
5 Rh 0.6251 0.6251 0.1246
6 Rh 0.6251 0.6251 0.6251

Summary:
- ΔH_f (0 K): 584 meV per atom
- Theoretical density: 10.54 g cm⁻³
- DOS at the Fermi energy: 13.656 states/eV per cell
- Relative energy among the computed polymorphs: 521 meV per atom
- Final energy: -0.518 Ry per atom

This record from Alexandria via LeMat-Bulk describes a geometry-optimized CoRuRh2 structure. The functional is PBE-GGA.

abc: 2.6894 2.6894 7.3642
angles: 90.00 90.00 90.00
Sites, in units of the cell vectors:
1 Co 0.0000 0.0000 0.0000
2 Ru 0.5000 0.5000 0.7645
3 Rh 0.0000 0.0000 0.5077
4 Rh 0.5000 0.5000 0.2383

Summary:
- ΔH_f (0 K): 81 meV per atom
- Theoretical density: 11.40 g cm⁻³
- DOS at the Fermi energy: 5.730 states/eV per cell
- Relative energy among the computed polymorphs: 18 meV per atom
- Final energy: -0.565 Ry per atom